The following is a DFT calculation (PBE+U) of a geometry-optimized CrCd2CoF structure.

POSCAR file:
```
CrCd2CoF
1.0
-1.2056 2.4888 -4.1213
-2.2989 -3.0450 -1.1663
-3.8731 2.0223 2.3543
Cr F Co Cd
1 1 1 2
direct
0.0000 0.5000 0.0000
0.0000 0.0000 0.0000
0.5000 0.5000 0.5000
0.0000 0.0000 0.5000
0.5000 0.0000 0.0000
```

Summary:
**Magnetic moment**: 6.38 μB/cell
**Volume**: 19.66 Å³/atom
**Total DFT energy (no corrections)**: -3.316 eV/atom
**Space group**: P4/mmm